# PBE ScCdHg2, relaxed
# - calculated formation energy (eV/atom) = -0.189
# - size of the total moment (μB/f.u.) = 0.00
data_ScCdHg2
_chemical_formula_sum 'Sc2 Cd2 Hg4'
_space_group_name_H-M_alt 'C 1 2/m 1'
_space_group_IT_number 12
_cell_length_a 9.4581
_cell_length_b 3.4496
_cell_length_c 5.7499
_cell_angle_alpha 90.00
_cell_angle_beta 102.97
_cell_angle_gamma 90.00
loop_
_space_group_symop_operation_xyz
'x,y,z'
'-x,-y,-z'
'-x,y,-z'
'x,-y,z'
'x+1/2,y+1/2,z'
'-x+1/2,-y+1/2,-z'
'-x+1/2,y+1/2,-z'
'x+1/2,-y+1/2,z'
loop_
_atom_site_label
_atom_site_type_symbol
_atom_site_fract_x
_atom_site_fract_y
_atom_site_fract_z
Sc1 Sc 0.0000 0.0000 0.0000
Cd1 Cd 0.0000 0.5000 0.5000
Hg1 Hg 0.2462 0.5000 0.2426